# 1
# CeBOs | the Alexandria database | PBE | relaxed
data_CeBOs
_chemical_formula_sum 'Ce1 B1 Os1'
_space_group_name_H-M_alt 'P 1'
_space_group_IT_number 1
_cell_length_a 4.3689
_cell_length_b 3.6858
_cell_length_c 3.6858
_cell_angle_alpha 120.00
_cell_angle_beta 90.00
_cell_angle_gamma 90.00
loop_
_space_group_symop_operation_xyz
'x,y,z'
loop_
_atom_site_label
_atom_site_fract_x
_atom_site_fract_y
_atom_site_fract_z
Ce1 0.6666 0.3333 0.6667
Os1 0.1667 0.0000 0.0000
B1 0.1667 0.6667 0.3333
# DFT total energy = -8.229 eV/atom
# E_form = -282 meV/atom
# total moment = 0.8 μB per formula unit



# 2
# Ce3B2OsRh9 | the Alexandria database | PBE | relaxed
data_Ce3B2OsRh9
_chemical_formula_sum 'Ce3 B2 Os1 Rh9'
_space_group_name_H-M_alt 'P 1'
_space_group_IT_number 1
_cell_length_a 5.7982
_cell_length_b 5.7982
_cell_length_c 8.6648
_cell_angle_alpha 90.00
_cell_angle_beta 90.00
_cell_angle_gamma 120.00
loop_
_space_group_symop_operation_xyz
'x,y,z'
loop_
_atom_site_label
_atom_site_fract_x
_atom_site_fract_y
_atom_site_fract_z
Rh1 0.1678 0.8322 0.2860
Rh2 0.0000 0.5000 0.0000
Rh3 0.6644 0.8322 0.2860
Rh4 0.8322 0.6644 0.7140
Rh5 0.8322 0.1678 0.7140
Rh6 0.1678 0.3356 0.2860
Rh7 0.5000 0.0000 0.0000
Rh8 0.3356 0.1678 0.7140
Rh9 0.5000 0.5000 0.0000
B1 0.3333 0.6667 0.1419
B2 0.6667 0.3333 0.8581
Ce1 0.3333 0.6667 0.6350
Ce2 0.6667 0.3333 0.3650
Ce3 0.0000 0.0000 0.0000
Os1 0.0000 0.0000 0.5000
# DFT total energy = -7.719 eV/atom
# E_form = -482 meV/atom
# total moment = 0.5 μB per formula unit



# 3
# Ce2B12Os3Ru | the Alexandria database | PBE | relaxed
data_Ce2B12Os3Ru
_chemical_formula_sum 'Ce2 B12 Os3 Ru1'
_space_group_name_H-M_alt 'P 1'
_space_group_IT_number 1
_cell_length_a 8.2541
_cell_length_b 8.2541
_cell_length_c 8.2541
_cell_angle_alpha 40.17
_cell_angle_beta 40.17
_cell_angle_gamma 40.17
loop_
_space_group_symop_operation_xyz
'x,y,z'
loop_
_atom_site_label
_atom_site_fract_x
_atom_site_fract_y
_atom_site_fract_z
B1 0.3463 0.0325 0.3463
B2 0.9330 0.9330 0.3446
B3 0.9330 0.3446 0.9330
B4 0.3463 0.3463 0.0325
B5 0.3446 0.9330 0.9330
B6 0.6554 0.0670 0.0670
B7 0.0325 0.3463 0.3463
B8 0.9675 0.6537 0.6537
B9 0.6537 0.9675 0.6537
B10 0.0670 0.0670 0.6554
B11 0.0670 0.6554 0.0670
B12 0.6537 0.6537 0.9675
Os1 0.0000 0.0000 0.5000
Os2 0.5000 0.0000 0.0000
Os3 0.0000 0.5000 0.0000
Ce1 0.3611 0.3611 0.3611
Ce2 0.6389 0.6389 0.6389
Ru1 0.0000 0.0000 0.0000
# DFT total energy = -7.398 eV/atom
# E_form = 100 meV/atom
# total moment = 1.0 μB per formula unit



# 4
# Ce2B2OsRu5 | the Alexandria database | PBE | relaxed
data_Ce2B2OsRu5
_chemical_formula_sum 'Ce4 B4 Os2 Ru10'
_space_group_name_H-M_alt 'P 1'
_space_group_IT_number 1
_cell_length_a 3.0411
_cell_length_b 9.7830
_cell_length_c 9.7830
_cell_angle_alpha 90.00
_cell_angle_beta 90.00
_cell_angle_gamma 90.00
loop_
_space_group_symop_operation_xyz
'x,y,z'
loop_
_atom_site_label
_atom_site_fract_x
_atom_site_fract_y
_atom_site_fract_z
B1 0.0000 0.3810 0.1190
B2 0.0000 0.8810 0.3810
B3 0.0000 0.6190 0.8810
B4 0.0000 0.1190 0.6190
Os1 0.0000 0.0000 0.0000
Os2 0.0000 0.5000 0.5000
Ce1 0.0000 0.6789 0.1789
Ce2 0.0000 0.8211 0.6789
Ce3 0.0000 0.3211 0.8211
Ce4 0.0000 0.1789 0.3211
Ru1 0.5000 0.2226 0.0696
Ru2 0.5000 0.4304 0.2774
Ru3 0.5000 0.7226 0.4304
Ru4 0.5000 0.0000 0.5000
Ru5 0.5000 0.5696 0.7226
Ru6 0.5000 0.5000 0.0000
Ru7 0.5000 0.2774 0.5696
Ru8 0.5000 0.9304 0.2226
Ru9 0.5000 0.0696 0.7774
Ru10 0.5000 0.7774 0.9304
# DFT total energy = -8.639 eV/atom
# E_form = -356 meV/atom
# total moment = 0.0 μB per formula unit



# 5
# Ce2Si2BOs2 | the Alexandria database | PBE | relaxed
data_Ce2Si2BOs2
_chemical_formula_sum 'Ce2 Si2 B1 Os2'
_space_group_name_H-M_alt 'P 1'
_space_group_IT_number 1
_cell_length_a 4.2307
_cell_length_b 5.9896
_cell_length_c 5.8028
_cell_angle_alpha 73.84
_cell_angle_beta 68.62
_cell_angle_gamma 69.32
loop_
_space_group_symop_operation_xyz
'x,y,z'
loop_
_atom_site_label
_atom_site_fract_x
_atom_site_fract_y
_atom_site_fract_z
Os1 0.7859 0.3223 0.1060
Os2 0.2141 0.6777 0.8940
Si1 0.1540 0.3987 0.2933
Si2 0.8460 0.6013 0.7067
B1 0.0000 0.0000 0.0000
Ce1 0.4319 0.8312 0.3051
Ce2 0.5681 0.1688 0.6949
# E_form (uncorrected) = -0.684 eV per atom
# DFT total energy = -8.091 eV/atom
# total moment = 1.1 μB per formula unit



# 6
# CeBP | the Alexandria database | PBE | relaxed
data_CeBP
_chemical_formula_sum 'Ce2 B2 P2'
_space_group_name_H-M_alt 'P 1'
_space_group_IT_number 1
_cell_length_a 5.6263
_cell_length_b 5.7035
_cell_length_c 5.3388
_cell_angle_alpha 122.26
_cell_angle_beta 121.80
_cell_angle_gamma 90.00
loop_
_space_group_symop_operation_xyz
'x,y,z'
loop_
_atom_site_label
_atom_site_fract_x
_atom_site_fract_y
_atom_site_fract_z
Ce1 0.2586 0.2584 0.5171
Ce2 0.7414 0.7416 0.4829
B1 0.0000 0.3414 0.0001
B2 0.0000 0.6586 0.9999
P1 0.2475 0.7474 0.4950
P2 0.7525 0.2526 0.5050
# DFT total energy = -6.433 eV/atom
# E_form = -426 meV/atom
# total moment = 0.0 μB per formula unit